# 1
DFT (PBE) results for a geometry-optimized Ti2CoAu2 structure.

Cell: 7.054 7.054 3.377 Å, 90.00 90.00 90.00°
Element x y z (fractional)
1 Ti 0.170 0.330 0.000
2 Ti 0.330 0.830 0.000
3 Ti 0.670 0.170 0.000
4 Ti 0.830 0.670 0.000
5 Co 0.000 0.000 0.500
6 Co 0.500 0.500 0.500
7 Au 0.137 0.637 0.500
8 Au 0.363 0.137 0.500
9 Au 0.637 0.863 0.500
10 Au 0.863 0.363 0.500

Calculated values
Symmetry: P4/mbm, No. 127
ΔH_f (0 K) in kJ/mol of formula units: -8.7
Electronic total energy in eV per atom: -5.91

# 2
DFT (PBE) results for a geometry-optimized Ti7Co2Au structure.

Cell: 6.917 6.917 4.323 Å, 90.00 90.00 116.33°
Element x y z (fractional)
1 Ti 0.000 0.000 0.000
2 Ti 0.192 0.439 0.000
3 Ti 0.229 0.771 0.500
4 Ti 0.439 0.192 0.000
5 Ti 0.561 0.808 0.000
6 Ti 0.771 0.229 0.500
7 Ti 0.808 0.561 0.000
8 Co 0.202 0.798 0.000
9 Co 0.798 0.202 0.000
10 Au 0.500 0.500 0.500

Calculated values
Symmetry: Cmmm, No. 65
ΔH_f (0 K) in kJ/mol of formula units: 215.9
Electronic total energy in eV per atom: -7.05

# 3
DFT (PBE) results for a geometry-optimized TiZnCoAu structure.

Cell: 4.363 4.363 4.363 Å, 60.00 60.00 60.00°
Element x y z (fractional)
1 Ti 0.000 0.000 0.000
2 Zn 0.500 0.500 0.500
3 Co 0.750 0.750 0.750
4 Au 0.250 0.250 0.250

Calculated values
Symmetry: F-43m, No. 216
ΔH_f (0 K) in kJ/mol of formula units: -81.8
Electronic total energy in eV per atom: -5.10

# 4
DFT (PBE) results for a geometry-optimized Tl2CoAu structure.

Cell: 5.555 5.555 5.555 Å, 145.17 120.53 70.80°
Element x y z (fractional)
1 Tl 0.230 0.230 0.000
2 Tl 0.770 0.770 0.000
3 Co 0.000 0.500 0.500
4 Au 0.500 0.000 0.500

Calculated values
Symmetry: Immm, No. 71
Relative energy among the computed polymorphs in meV/atom: 190
ΔH_f (0 K) in kJ/mol of formula units: 189.4
Electronic total energy in eV per atom: -3.29

# 5
DFT (PBE) results for a geometry-optimized Tl2CoAu structure.

Cell: 3.259 3.259 7.458 Å, 90.00 90.00 90.00°
Element x y z (fractional)
1 Tl 0.000 0.000 0.221
2 Tl 0.000 0.000 0.779
3 Co 0.500 0.500 0.000
4 Au 0.500 0.500 0.500

Calculated values
Symmetry: P4/mmm, No. 123
Relative energy among the computed polymorphs in meV/atom: 126
ΔH_f (0 K) in kJ/mol of formula units: 164.5
Electronic total energy in eV per atom: -3.35

# 6
DFT (PBE) results for a geometry-optimized Tl2CoAu structure.

Cell: 9.113 9.113 9.113 Å, 21.21 21.21 21.21°
Element x y z (fractional)
1 Tl 0.000 0.000 0.000
2 Tl 0.228 0.228 0.228
3 Co 0.741 0.741 0.741
4 Au 0.472 0.472 0.472

Calculated values
Symmetry: R3m, No. 160
Relative energy among the computed polymorphs in meV/atom: 112
ΔH_f (0 K) in kJ/mol of formula units: 159.3
Electronic total energy in eV per atom: -3.37

M_tot: 0.00 0.01 1.09 1.33 1.07 1.51 (μB per cell)